PBE-GGA BeSb2PdBr, relaxed; energy relative to the elements, uncorrected = 0.483 eV/atom; Fermi-level density of states = 3.26 states/eV/cell; SG = P4/mmm, No. 123
1.0
4.931 0.000 0.000
0.000 4.931 0.000
0.000 0.000 4.627
Be Sb Pd Br
1 2 1 1
Direct
0.000 0.000 0.000
0.000 0.500 0.000
0.500 0.000 0.000
0.500 0.500 0.500
0.000 0.000 0.500

PBE-GGA PrSmZnIr, relaxed; DFT formation energy = -0.480 eV per atom; offset from the most stable computed form = 0.0325 eV per atom; Fermi-level density of states = 1.62 states/eV/cell; SG = F-43m, No. 216
1.0
0.000 3.598 3.598
3.598 0.000 3.598
3.598 3.598 0.000
Pr Sm Zn Ir
1 1 1 1
Direct
0.000 0.000 0.000
0.500 0.500 0.500
0.750 0.750 0.750
0.250 0.250 0.250